# 1
Here is crystalline Er2ScAg at its relaxed geometry from the Alexandria database. Energies are from PBE.

Its total DFT energy (no corrections) is -4.70 eV per atom. Its formation energy is -119 meV/atom. The calculation puts the total moment at 0.00 μB per cell.

The structure belongs to space group P4/mmm (No. 123); the cell edges are 3.482, 3.482 and 8.460 Å and the angles 90.00°, 90.00° and 90.00°. The inequivalent atoms are Er at (0.000, 0.000, 0.228), Sc at (0.500, 0.500, 0.500) and Ag at (0.500, 0.500, 0.000).


# 2
Here is crystalline Tb14DyTl at its relaxed geometry from the Alexandria database. Energies are from PBE.

Its total DFT energy (no corrections) is -4.50 eV per atom. Its formation energy is -13 meV/atom. The calculation puts the total moment at 0.00 μB per cell.

The structure belongs to space group P4/mmm (No. 123); the cell edges are 7.058, 7.058 and 10.039 Å and the angles 90.00°, 90.00° and 90.00°. The inequivalent atoms are Tb at (0.000, 0.000, 0.000), Tb at (0.000, 0.500, 0.000), Tb at (0.000, 0.500, 0.500), Tb at (0.250, 0.250, 0.252), Tb at (0.500, 0.500, 0.000), Dy at (0.000, 0.000, 0.500) and Tl at (0.500, 0.500, 0.500).


# 3
Here is crystalline SrCa2Cd3 at its relaxed geometry from the Alexandria database. Energies are from PBE.

Its total DFT energy (no corrections) is -1.74 eV per atom. Its formation energy is -339 meV/atom. The calculation puts the total moment at 0.00 μB per cell.

The structure belongs to space group Cmmm (No. 65); the cell edges are 5.588, 16.702 and 3.851 Å and the angles 90.00°, 90.00° and 90.00°. The inequivalent atoms are Sr at (0.000, 0.000, 0.000), Ca at (0.000, 0.334, 0.000), Cd at (0.000, 0.174, 0.500) and Cd at (0.000, 0.500, 0.500).


# 4
Here is crystalline SnRhSe at its relaxed geometry from the Alexandria database. Energies are from PBE.

Its total DFT energy (no corrections) is -5.25 eV per atom. The calculation puts the total moment at 0.00 μB per cell. For the uncorrected formation energy, the calculation gives -0.912 eV per formula unit.

The structure belongs to space group F-43m (No. 216); the cell edges are 6.302, 6.302 and 6.302 Å and the angles 90.00°, 90.00° and 90.00°. The inequivalent atoms are Sn at (0.000, 0.000, 0.000), Rh at (0.250, 0.250, 0.750) and Se at (0.000, 0.000, 0.500).


# 5
Here is crystalline Si2AsPt at its relaxed geometry from the Alexandria database. Energies are from PBE.

Its total DFT energy (no corrections) is -5.16 eV per atom. The calculation puts the total moment at 0.00 μB per cell. For the uncorrected formation energy, the calculation gives 0.883 eV per formula unit.

The structure belongs to space group P2/m (No. 10); the cell edges are 4.417, 3.292 and 4.572 Å and the angles 90.00°, 105.34° and 90.00°. The inequivalent atoms are Si at (0.000, 0.000, 0.000), Si at (0.000, 0.500, 0.500), As at (0.500, 0.000, 0.500) and Pt at (0.500, 0.500, 0.000).


# 6
Here is crystalline AcPaB12 at its relaxed geometry from the Alexandria database. Energies are from PBE.

Its total DFT energy (no corrections) is -7.14 eV per atom. Its formation energy is -450 meV/atom. The calculation puts the total moment at 1.07 μB per cell.

The structure belongs to space group P4/mmm (No. 123); the cell edges are 4.133, 4.133 and 8.284 Å and the angles 90.00°, 90.00° and 90.00°. The inequivalent atoms are Ac at (0.000, 0.000, 0.000), Pa at (0.000, 0.000, 0.500), B at (0.198, 0.500, 0.255), B at (0.500, 0.500, 0.102) and B at (0.500, 0.500, 0.403).


# 7
Here is crystalline InSbI2O at its relaxed geometry from the Alexandria database. Energies are from PBE.

Its total DFT energy (no corrections) is -2.26 eV per atom. The calculation puts the total moment at 2.96 μB per cell. For the uncorrected formation energy, the calculation gives 3.623 eV per formula unit.

The structure belongs to space group P4/mmm (No. 123); the cell edges are 5.958, 5.958 and 5.799 Å and the angles 90.00°, 90.00° and 90.00°. The inequivalent atoms are In at (0.000, 0.000, 0.000), Sb at (0.000, 0.000, 0.500), I at (0.000, 0.500, 0.000) and O at (0.500, 0.500, 0.500).


# 8
Here is crystalline IrSF at its relaxed geometry from the Alexandria database. Energies are from PBE.

Its total DFT energy (no corrections) is -5.04 eV per atom. The calculation puts the total moment at 0.01 μB per cell. For the uncorrected formation energy, the calculation gives -0.265 eV per formula unit.

The structure belongs to space group Cmcm (No. 63); the cell edges are 2.920, 10.610 and 5.591 Å and the angles 90.00°, 90.00° and 90.00°. The inequivalent atoms are Ir at (0.000, 0.000, 0.000), S at (0.000, 0.381, 0.250) and F at (0.000, 0.304, 0.750).